Entry 1:
## Na2TlTcCl8 (PBE)

Data for crystalline Na2TlTcCl8 at its relaxed geometry.

As for the final energy: -0.26226 Ry per atom.

The structure belongs to space group P2/m (No. 10); the cell edges are 6.192, 8.341 and 6.476 Å and the angles 90.00°, 93.72° and 90.00°. The asymmetric unit holds Na at (0.000, 0.241, 0.000), Tl at (0.500, 0.500, 0.500), Tc at (0.500, 0.000, 0.500), Cl at (0.208, 0.500, 0.174), Cl at (0.259, 0.000, 0.198) and Cl at (0.293, 0.204, 0.647).


Entry 2:
## NaTl2TcCl6 (PBE)

Data for crystalline NaTl2TcCl6 at its relaxed geometry.

As for the final energy: -0.27597 Ry per atom.

The structure belongs to space group R-3m (No. 166, hexagonal axes); the cell edges are 7.1478, 7.1478 and 39.0346 Å and the angles 90.00°, 90.00° and 120.00°. The asymmetric unit holds Na at (0.0000, 0.0000, 0.0856), Tl at (0.0000, 0.0000, 0.1932), Tl at (0.0000, 0.0000, 0.3604), Tc at (0.0000, 0.0000, 0.0000), Tc at (0.0000, 0.0000, 0.5000), Cl at (0.0145, 0.5072, 0.2020) and Cl at (0.0135, 0.5068, 0.6312).


Entry 3:
## NaVTc2Cl (PBE)

Data for crystalline NaVTc2Cl at its relaxed geometry.

As for the final energy: -0.41990 Ry per atom.

The structure belongs to space group P4/mmm (No. 123); the cell edges are 4.539, 4.539 and 5.286 Å and the angles 90.00°, 90.00° and 90.00°. The asymmetric unit holds Na at (0.000, 0.000, 0.000), V at (0.500, 0.500, 0.500), Tc at (0.000, 0.500, 0.500) and Cl at (0.500, 0.500, 0.000).


Entry 4:
## Na2TeCl (PBE)

Data for crystalline Na2TeCl at its relaxed geometry.

Its excess energy over the best structure of this formula in the dataset is 16 meV/atom.

The structure belongs to space group R3m (No. 160, hexagonal axes); the cell edges are 3.8601, 3.8601 and 24.4269 Å and the angles 90.00°, 90.00° and 120.00°. The asymmetric unit holds Na at (0.0000, 0.0000, 0.0000), Na at (0.0000, 0.0000, 0.1926), Te at (0.0000, 0.0000, 0.7637) and Cl at (0.0000, 0.0000, 0.5954).


Entry 5:
## Na2TeCl4 (PBE)

Data for crystalline Na2TeCl4 at its relaxed geometry.

As for the final energy: -0.22114 Ry per atom.

The structure belongs to space group I-42m (No. 121); the cell edges are 7.160, 7.160 and 7.538 Å and the angles 90.00°, 90.00° and 90.00°. The asymmetric unit holds Na at (0.000, 0.500, 0.250), Te at (0.000, 0.000, 0.000) and Cl at (0.243, 0.243, 0.501).


Entry 6:
## NaTe2Cl6 (PBE)

Data for crystalline NaTe2Cl6 at its relaxed geometry.

As for the final energy: -0.20714 Ry per atom.

The structure belongs to space group C2/c (No. 15); the cell edges are 14.088, 13.362 and 6.413 Å and the angles 90.00°, 95.22° and 90.00°. The asymmetric unit holds Na at (0.000, 0.103, 0.250), Te at (0.245, 0.338, 0.218), Cl at (0.118, 0.070, 0.936), Cl at (0.121, 0.251, 0.439) and Cl at (0.123, 0.414, 0.993).


Entry 7:
## Na5Te2Cl12 (PBE)

Data for crystalline Na5Te2Cl12 at its relaxed geometry.

As for the final energy: -0.21729 Ry per atom.

The structure belongs to space group C2/m (No. 12); the cell edges are 14.825, 8.082 and 10.699 Å and the angles 90.00°, 114.34° and 90.00°. The asymmetric unit holds Na at (0.000, 0.000, 0.000), Na at (0.043, 0.500, 0.161), Na at (0.244, 0.000, 0.001), Te at (0.000, 0.249, 0.500), Cl at (0.105, 0.250, 0.366), Cl at (0.107, 0.500, 0.656), Cl at (0.109, 0.000, 0.652) and Cl at (0.124, 0.266, 0.011).


Entry 8:
## Na2TeCl2 (PBE)

Data for crystalline Na2TeCl2 at its relaxed geometry.

Its excess energy over the best structure of this formula in the dataset is 73 meV/atom.

The structure belongs to space group I4/mmm (No. 139); the cell edges are 5.269, 5.269 and 13.001 Å and the angles 90.00°, 90.00° and 90.00°. The asymmetric unit holds Na at (0.000, 0.000, 0.201), Te at (0.000, 0.000, 0.500) and Cl at (0.000, 0.500, 0.250).


Entry 9:
## Na2TeCl6 (PBE)

Data for crystalline Na2TeCl6 at its relaxed geometry.

Its excess energy over the best structure of this formula in the dataset is 0 meV/atom.

The structure belongs to space group P2_1/c (No. 14); the cell edges are 7.024, 6.678 and 13.541 Å and the angles 90.00°, 121.22° and 90.00°. The asymmetric unit holds Na at (0.183, 0.002, 0.184), Te at (0.500, 0.000, 0.000), Cl at (0.187, 0.721, 0.345), Cl at (0.196, 0.215, 0.999) and Cl at (0.499, 0.215, 0.842).


Entry 10:
## Na2TeCl (PBE)

Data for crystalline Na2TeCl at its relaxed geometry.

Its excess energy over the best structure of this formula in the dataset is 167 meV/atom.

The structure belongs to space group I-42d (No. 122); the cell edges are 7.572, 7.572 and 8.999 Å and the angles 90.00°, 90.00° and 90.00°. The asymmetric unit holds Na at (0.198, 0.250, 0.125), Te at (0.000, 0.000, 0.500) and Cl at (0.000, 0.000, 0.000).